# PBE with a Hubbard U KCrS2O8, optimized geometry
# - excess energy over the best structure of this formula in the dataset (meV/atom) = 39
# - size of the total moment (μB per atom) = 0.26
data_KCrS2O8
_chemical_formula_sum 'K1 Cr1 S2 O8'
_cell_length_a 5.0785
_cell_length_b 5.0785
_cell_length_c 7.9782
_cell_angle_alpha 90.00
_cell_angle_beta 90.00
_cell_angle_gamma 120.00
_symmetry_space_group_name_H-M 'P 3 2 1'
_symmetry_Int_Tables_number 150
loop_
_symmetry_equiv_pos_as_xyz
'x,y,z'
'-y,x-y,z'
'-x+y,-x,z'
'y,x,-z'
'x-y,-y,-z'
'-x,-x+y,-z'
loop_
_atom_site_label
_atom_site_fract_x
_atom_site_fract_y
_atom_site_fract_z
K1 0.0000 0.0000 0.0000
Cr1 0.0000 0.0000 0.5000
S1 0.3333 0.6667 0.2806
O1 0.1295 0.7787 0.3421
O2 0.3333 0.6667 0.0980